No. 1
VASP calculation (PBE-GGA) on a relaxed structure of Tb2ErRu.

It has space group R-3m (No. 166, hexagonal axes), with a = 3.4996 Å, b = 3.4996 Å, c = 31.8696 Å, α = 90.00°, β = 90.00° and γ = 120.00°. Symmetry generates all atoms from Tb at (0.0000, 0.0000, 0.1066), Er at (0.0000, 0.0000, 0.0000) and Ru at (0.0000, 0.0000, 0.5000).

The value obtained for the formation energy is 0.5 eV/f.u. The calculation puts the distance to the lowest polymorph of the same formula at 448 meV per atom. The electronic total energy is -5.65 eV/atom. As for the total moment: 0.562 Bohr magnetons per cell. The density of states at the Fermi level comes out at 20.45 states/eV per cell.

***

No. 2
VASP calculation (PBE-GGA) on a relaxed structure of Tb5ErRu6.

It has space group C2/m (No. 12), with a = 8.331 Å, b = 14.413 Å, c = 4.829 Å, α = 90.00°, β = 125.31° and γ = 90.00°. Symmetry generates all atoms from Tb at (0.000, 0.000, 0.000), Tb at (0.000, 0.167, 0.500), Tb at (0.000, 0.334, 0.000), Er at (0.000, 0.500, 0.500), Ru at (0.249, 0.334, 0.750) and Ru at (0.249, 0.500, 0.249).

The value obtained for the formation energy is -3.7 eV/f.u. The electronic total energy is -7.25 eV/atom. As for the total moment: 0.000 Bohr magnetons per cell. The density of states at the Fermi level comes out at 21.39 states/eV per cell.

***

No. 3
VASP calculation (PBE-GGA) on a relaxed structure of Tb2ErRu.

It has space group Pnma (No. 62), with a = 7.301 Å, b = 9.208 Å, c = 6.307 Å, α = 90.00°, β = 90.00° and γ = 90.00°. Symmetry generates all atoms from Tb at (0.177, 0.064, 0.170), Er at (0.042, 0.250, 0.635) and Ru at (0.115, 0.750, 0.963).

The value obtained for the formation energy is -1.3 eV/f.u. The calculation puts the distance to the lowest polymorph of the same formula at 0 meV per atom. The electronic total energy is -6.10 eV/atom. As for the total moment: 0.000 Bohr magnetons per cell. The density of states at the Fermi level comes out at 11.49 states/eV per cell.

***

No. 4
VASP calculation (PBE-GGA) on a relaxed structure of TbEr5Ru3.

It has space group C2/m (No. 12), with a = 12.211 Å, b = 8.945 Å, c = 9.882 Å, α = 90.00°, β = 112.67° and γ = 90.00°. Symmetry generates all atoms from Tb at (0.103, 0.000, 0.301), Er at (0.000, 0.302, 0.000), Er at (0.069, 0.500, 0.369), Er at (0.165, 0.199, 0.669), Er at (0.233, 0.000, 0.033), Ru at (0.000, 0.000, 0.000), Ru at (0.000, 0.000, 0.500), Ru at (0.164, 0.500, 0.669) and Ru at (0.168, 0.500, 0.167).

The value obtained for the formation energy is -2.1 eV/f.u. The electronic total energy is -6.37 eV/atom. As for the total moment: 0.000 Bohr magnetons per cell. The density of states at the Fermi level comes out at 9.89 states/eV per cell.

***

No. 5
VASP calculation (PBE-GGA) on a relaxed structure of Tb2Er3Ru4.

It has space group P-3m1 (No. 164), with a = 4.8477 Å, b = 4.8477 Å, c = 9.2135 Å, α = 90.00°, β = 90.00° and γ = 120.00°. Symmetry generates all atoms from Tb at (0.3333, 0.6667, 0.2943), Er at (0.0000, 0.0000, 0.5000), Er at (0.3333, 0.6667, 0.9093), Ru at (0.0000, 0.0000, 0.1420) and Ru at (0.3333, 0.6667, 0.6060).

The value obtained for the formation energy is -3.1 eV/f.u. The electronic total energy is -7.02 eV/atom. As for the total moment: 0.000 Bohr magnetons per cell. The density of states at the Fermi level comes out at 4.62 states/eV per cell.

***

No. 6
VASP calculation (PBE-GGA) on a relaxed structure of Tb3ErRu8.

It has space group Cm (No. 8), with a = 9.227 Å, b = 5.327 Å, c = 9.286 Å, α = 90.00°, β = 109.49° and γ = 90.00°. Symmetry generates all atoms from Tb at (0.000, 0.000, 0.000), Tb at (0.000, 0.500, 0.500), Tb at (0.375, 0.000, 0.125), Er at (0.375, 0.500, 0.626), Ru at (0.187, 0.251, 0.812), Ru at (0.188, 0.000, 0.564), Ru at (0.188, 0.251, 0.314), Ru at (0.188, 0.500, 0.063), Ru at (0.438, 0.000, 0.812) and Ru at (0.438, 0.500, 0.314).

The value obtained for the formation energy is -3.5 eV/f.u. The electronic total energy is -8.01 eV/atom. As for the total moment: 0.000 Bohr magnetons per cell. The density of states at the Fermi level comes out at 29.79 states/eV per cell.

***

No. 7
VASP calculation (PBE-GGA) on a relaxed structure of Tb3ErRu2.

It has space group Cmcm (No. 63), with a = 9.586 Å, b = 9.602 Å, c = 6.345 Å, α = 90.00°, β = 90.00° and γ = 90.00°. Symmetry generates all atoms from Tb at (0.000, 0.069, 0.250), Tb at (0.182, 0.250, 0.750), Er at (0.000, 0.433, 0.250) and Ru at (0.248, 0.500, 0.000).

The value obtained for the formation energy is -2.0 eV/f.u. The calculation puts the distance to the lowest polymorph of the same formula at 0 meV per atom. The electronic total energy is -6.50 eV/atom. As for the total moment: 0.000 Bohr magnetons per cell. The density of states at the Fermi level comes out at 20.26 states/eV per cell.

***

No. 8
VASP calculation (PBE-GGA) on a relaxed structure of TbEr3Ru3.

It has space group R3m (No. 160, hexagonal axes), with a = 9.4855 Å, b = 9.4855 Å, c = 5.7928 Å, α = 90.00°, β = 90.00° and γ = 120.00°. Symmetry generates all atoms from Tb at (0.0000, 0.0000, 0.0000), Er at (0.0569, 0.5284, 0.1146) and Ru at (0.9997, 0.4999, 0.5868).

The value obtained for the formation energy is -2.8 eV/f.u. The calculation puts the distance to the lowest polymorph of the same formula at 0 meV per atom. The electronic total energy is -6.99 eV/atom. As for the total moment: 0.000 Bohr magnetons per cell. The density of states at the Fermi level comes out at 8.40 states/eV per cell.

***

No. 9
VASP calculation (PBE-GGA) on a relaxed structure of TbEr3Ru8.

It has space group R3m (No. 160, hexagonal axes), with a = 5.3109 Å, b = 5.3109 Å, c = 26.1730 Å, α = 90.00°, β = 90.00° and γ = 120.00°. Symmetry generates all atoms from Tb at (0.0000, 0.0000, 0.0000), Er at (0.0000, 0.0000, 0.3751), Er at (0.0000, 0.0000, 0.4999), Er at (0.0000, 0.0000, 0.8750), Ru at (0.0000, 0.0000, 0.1874), Ru at (0.0000, 0.0000, 0.6874), Ru at (0.0012, 0.5006, 0.4379) and Ru at (0.1670, 0.3340, 0.2703).

The value obtained for the formation energy is -3.8 eV/f.u. The electronic total energy is -8.03 eV/atom. As for the total moment: 0.001 Bohr magnetons per cell. The density of states at the Fermi level comes out at 43.98 states/eV per cell.

***

No. 10
VASP calculation (PBE-GGA) on a relaxed structure of TbErRu.

It has space group F-43m (No. 216), with a = 6.741 Å, b = 6.741 Å, c = 6.741 Å, α = 90.00°, β = 90.00° and γ = 90.00°. Symmetry generates all atoms from Tb at (0.000, 0.000, 0.000), Er at (0.000, 0.000, 0.500) and Ru at (0.250, 0.250, 0.750).

The value obtained for the formation energy is -0.9 eV/f.u. The calculation puts the distance to the lowest polymorph of the same formula at 56 meV per atom. The electronic total energy is -6.45 eV/atom. As for the total moment: 0.000 Bohr magnetons per cell. The density of states at the Fermi level comes out at 6.55 states/eV per cell.

***

No. 11
VASP calculation (PBE-GGA) on a relaxed structure of Tb2Er5Ru5.

It has space group C2/m (No. 12), with a = 8.323 Å, b = 4.800 Å, c = 13.485 Å, α = 90.00°, β = 101.77° and γ = 90.00°. Symmetry generates all atoms from Tb at (0.072, 0.000, 0.216), Er at (0.000, 0.500, 0.500), Er at (0.190, 0.500, 0.071), Er at (0.215, 0.000, 0.644), Ru at (0.000, 0.000, 0.000), Ru at (0.117, 0.500, 0.849) and Ru at (0.145, 0.000, 0.436).

The value obtained for the formation energy is -3.0 eV/f.u. The electronic total energy is -6.79 eV/atom. As for the total moment: 0.000 Bohr magnetons per cell. The density of states at the Fermi level comes out at 17.03 states/eV per cell.

***

No. 12
VASP calculation (PBE-GGA) on a relaxed structure of TbEr2Ru3.

It has space group Cmmm (No. 65), with a = 4.776 Å, b = 14.343 Å, c = 3.394 Å, α = 90.00°, β = 90.00° and γ = 90.00°. Symmetry generates all atoms from Tb at (0.000, 0.000, 0.000), Er at (0.000, 0.333, 0.000), Ru at (0.000, 0.168, 0.500) and Ru at (0.000, 0.500, 0.500).

The value obtained for the formation energy is -2.1 eV/f.u. The calculation puts the distance to the lowest polymorph of the same formula at 0 meV per atom. The electronic total energy is -7.28 eV/atom. As for the total moment: 0.000 Bohr magnetons per cell. The density of states at the Fermi level comes out at 13.31 states/eV per cell.

***

No. 13
VASP calculation (PBE-GGA) on a relaxed structure of TbEr2Ru.

It has space group P4/mmm (No. 123), with a = 3.408 Å, b = 3.408 Å, c = 8.840 Å, α = 90.00°, β = 90.00° and γ = 90.00°. Symmetry generates all atoms from Tb at (0.000, 0.000, 0.000), Er at (0.500, 0.500, 0.316) and Ru at (0.000, 0.000, 0.500).

The value obtained for the formation energy is -1.0 eV/f.u. The calculation puts the distance to the lowest polymorph of the same formula at 94 meV per atom. The electronic total energy is -6.01 eV/atom. As for the total moment: 0.000 Bohr magnetons per cell. The density of states at the Fermi level comes out at 2.99 states/eV per cell.

***

No. 14
VASP calculation (PBE-GGA) on a relaxed structure of TbEr3Ru3.

It has space group C2/m (No. 12), with a = 9.539 Å, b = 9.649 Å, c = 6.704 Å, α = 90.00°, β = 90.11° and γ = 90.00°. Symmetry generates all atoms from Tb at (0.247, 0.000, 0.499), Er at (0.000, 0.254, 0.000), Er at (0.000, 0.260, 0.500), Er at (0.245, 0.500, 0.001), Ru at (0.000, 0.500, 0.249) and Ru at (0.250, 0.250, 0.249).

The value obtained for the formation energy is -2.6 eV/f.u. The calculation puts the distance to the lowest polymorph of the same formula at 23 meV per atom. The electronic total energy is -6.97 eV/atom. As for the total moment: 0.000 Bohr magnetons per cell. The density of states at the Fermi level comes out at 15.74 states/eV per cell.

***

No. 15
VASP calculation (PBE-GGA) on a relaxed structure of TbEr2Ru2.

It has space group Cmc2_1 (No. 36), with a = 4.746 Å, b = 15.469 Å, c = 5.984 Å, α = 90.00°, β = 90.00° and γ = 90.00°. Symmetry generates all atoms from Tb at (0.000, 0.095, 0.000), Er at (0.000, 0.290, 0.792), Er at (0.000, 0.460, 0.119), Ru at (0.000, 0.122, 0.482) and Ru at (0.000, 0.309, 0.325).

The value obtained for the formation energy is -1.0 eV/f.u. The calculation puts the distance to the lowest polymorph of the same formula at 125 meV per atom. The electronic total energy is -6.67 eV/atom. As for the total moment: 0.000 Bohr magnetons per cell. The density of states at the Fermi level comes out at 12.20 states/eV per cell.

***

No. 16
VASP calculation (PBE-GGA) on a relaxed structure of TbEr3Ru4.

It has space group P4/mmm (No. 123), with a = 4.776 Å, b = 4.776 Å, c = 6.773 Å, α = 90.00°, β = 90.00° and γ = 90.00°. Symmetry generates all atoms from Tb at (0.000, 0.000, 0.000), Er at (0.000, 0.000, 0.500), Er at (0.500, 0.500, 0.000), Er at (0.500, 0.500, 0.500) and Ru at (0.000, 0.500, 0.251).

The value obtained for the formation energy is -2.9 eV/f.u. The electronic total energy is -7.28 eV/atom. As for the total moment: 0.000 Bohr magnetons per cell. The density of states at the Fermi level comes out at 9.41 states/eV per cell.

***

No. 17
VASP calculation (PBE-GGA) on a relaxed structure of Tb3Er2Ru2.

It has space group C2/m (No. 12), with a = 11.897 Å, b = 3.887 Å, c = 8.433 Å, α = 90.00°, β = 113.35° and γ = 90.00°. Symmetry generates all atoms from Tb at (0.000, 0.000, 0.000), Tb at (0.121, 0.000, 0.430), Er at (0.167, 0.500, 0.814) and Ru at (0.180, 0.500, 0.221).

The value obtained for the formation energy is -2.3 eV/f.u. The electronic total energy is -6.27 eV/atom. As for the total moment: 0.000 Bohr magnetons per cell. The density of states at the Fermi level comes out at 10.90 states/eV per cell.

***

No. 18
VASP calculation (PBE-GGA) on a relaxed structure of TbErRu2.

It has space group P4/mmm (No. 123), with a = 3.391 Å, b = 3.391 Å, c = 6.785 Å, α = 90.00°, β = 90.00° and γ = 90.00°. Symmetry generates all atoms from Tb at (0.000, 0.000, 0.000), Er at (0.000, 0.000, 0.500) and Ru at (0.500, 0.500, 0.253).

The value obtained for the formation energy is -1.4 eV/f.u. The electronic total energy is -7.28 eV/atom. As for the total moment: 0.000 Bohr magnetons per cell. The density of states at the Fermi level comes out at 5.15 states/eV per cell.

***

No. 19
VASP calculation (PBE-GGA) on a relaxed structure of Tb2Er3Ru2.

It has space group C2/m (No. 12), with a = 11.854 Å, b = 3.860 Å, c = 8.510 Å, α = 90.00°, β = 114.11° and γ = 90.00°. Symmetry generates all atoms from Tb at (0.164, 0.000, 0.308), Er at (0.000, 0.500, 0.500), Er at (0.122, 0.500, 0.928) and Ru at (0.178, 0.000, 0.724).

The value obtained for the formation energy is -2.5 eV/f.u. The electronic total energy is -6.28 eV/atom. As for the total moment: 0.000 Bohr magnetons per cell. The density of states at the Fermi level comes out at 10.31 states/eV per cell.

***

No. 20
VASP calculation (PBE-GGA) on a relaxed structure of Tb5ErRu3.

It has space group C2/m (No. 12), with a = 12.285 Å, b = 9.062 Å, c = 9.933 Å, α = 90.00°, β = 112.49° and γ = 90.00°. Symmetry generates all atoms from Tb at (0.000, 0.200, 0.000), Tb at (0.063, 0.000, 0.365), Tb at (0.169, 0.301, 0.664), Tb at (0.233, 0.500, 0.035), Er at (0.097, 0.500, 0.298), Ru at (0.000, 0.500, 0.000), Ru at (0.000, 0.500, 0.500), Ru at (0.166, 0.000, 0.166) and Ru at (0.170, 0.000, 0.664).

The value obtained for the formation energy is -1.9 eV/f.u. The electronic total energy is -6.38 eV/atom. As for the total moment: 0.000 Bohr magnetons per cell. The density of states at the Fermi level comes out at 10.49 states/eV per cell.

***

No. 21
VASP calculation (PBE-GGA) on a relaxed structure of TbEr3Ru.

It has space group Pm-3m (No. 221), with a = 5.344 Å, b = 5.344 Å, c = 5.344 Å, α = 90.00°, β = 90.00° and γ = 90.00°. Symmetry generates all atoms from Tb at (0.000, 0.000, 0.000), Er at (0.000, 0.500, 0.500) and Ru at (0.500, 0.500, 0.500).

The value obtained for the formation energy is -0.4 eV/f.u. The calculation puts the distance to the lowest polymorph of the same formula at 136 meV per atom. The electronic total energy is -5.60 eV/atom. As for the total moment: 0.011 Bohr magnetons per cell. The density of states at the Fermi level comes out at 7.65 states/eV per cell.

***

No. 22
VASP calculation (PBE-GGA) on a relaxed structure of Tb5Er2Ru5.

It has space group C2/m (No. 12), with a = 8.386 Å, b = 4.837 Å, c = 13.449 Å, α = 90.00°, β = 101.92° and γ = 90.00°. Symmetry generates all atoms from Tb at (0.000, 0.000, 0.000), Tb at (0.191, 0.000, 0.572), Tb at (0.216, 0.500, 0.148), Er at (0.072, 0.500, 0.716), Ru at (0.000, 0.500, 0.500), Ru at (0.115, 0.000, 0.344) and Ru at (0.145, 0.500, 0.935).

The value obtained for the formation energy is -2.6 eV/f.u. The electronic total energy is -6.77 eV/atom. As for the total moment: 0.000 Bohr magnetons per cell. The density of states at the Fermi level comes out at 17.58 states/eV per cell.

***

no.,calculated density (g/cm³)
1,8.6
2,11.0
3,9.2
4,8.7
5,10.8
6,11.2
7,9.6
8,10.6
9,11.4
10,9.3
11,10.5
12,11.4
13,9.6
14,10.4
15,10.5
16,11.4
17,9.4
18,11.2
19,9.5
20,8.2
21,8.3
22,10.2